Record 1
Te3Cl2: relaxed, PBE.

## Properties
E_form (uncorrected) = -0.225 eV per atom
Density = 4.16 Mg/m³
Polymorph energy (0 for the lowest one) = 65 meV/atom

Unit cell a=12.322 b=8.051 c=7.311 alpha=90.00 beta=92.77 gamma=90.00
Sites, in units of the cell vectors:
Te  0.048  0.154  0.054
Te  0.048  0.346  0.554
Te  0.257  0.052  0.033
Te  0.257  0.448  0.533
Te  0.336  0.029  0.398
Te  0.336  0.471  0.898
Te  0.664  0.529  0.102
Te  0.664  0.971  0.602
Te  0.743  0.552  0.467
Te  0.743  0.948  0.967
Te  0.952  0.654  0.446
Te  0.952  0.846  0.946
Cl  0.154  0.538  0.031
Cl  0.154  0.962  0.531
Cl  0.483  0.593  0.247
Cl  0.483  0.907  0.747
Cl  0.517  0.093  0.253
Cl  0.517  0.407  0.753
Cl  0.846  0.038  0.469
Cl  0.846  0.462  0.969

Record 2
LaTh2Au8: relaxed, PBE.

## Properties
Density = 14.35 Mg/m³
Formation energy = -0.681 eV per atom

Unit cell a=8.733 b=8.733 c=5.233 alpha=107.38 beta=107.38 gamma=124.54
Sites, in units of the cell vectors:
La  0.000  0.000  0.000
Th  0.316  0.684  0.500
Th  0.684  0.316  0.500
Au  0.092  0.360  0.727
Au  0.203  0.797  0.000
Au  0.360  0.092  0.727
Au  0.500  0.500  0.249
Au  0.500  0.500  0.751
Au  0.640  0.908  0.273
Au  0.797  0.203  0.000
Au  0.908  0.640  0.273

Record 3
Rb3ErSb2Te6: relaxed, PBE.

## Properties
E_form (uncorrected) = -0.801 eV per atom
Density = 5.20 Mg/m³

Unit cell a=7.869 b=7.869 c=8.930 alpha=98.44 beta=98.44 gamma=120.00
Sites, in units of the cell vectors:
Rb  0.000  0.000  0.000
Rb  0.332  0.668  0.000
Rb  0.668  0.332  0.000
Er  0.500  0.500  0.500
Sb  0.166  0.834  0.500
Sb  0.834  0.166  0.500
Te  0.103  0.435  0.304
Te  0.234  0.234  0.697
Te  0.435  0.103  0.304
Te  0.565  0.897  0.696
Te  0.766  0.766  0.303
Te  0.897  0.565  0.696

Record 4
TbNd2C: relaxed, PBE.

## Properties
Density = 6.69 Mg/m³
Formation energy = 0.067 eV per atom

Unit cell a=10.224 b=10.224 c=10.224 alpha=20.43 beta=20.43 gamma=20.43
Sites, in units of the cell vectors:
Tb  0.000  0.000  0.000
Nd  0.119  0.119  0.119
Nd  0.881  0.881  0.881
C  0.500  0.500  0.500

Record 5
Sm2ZnCo2: relaxed, PBE.

## Properties
Density = 8.35 Mg/m³
Formation energy = -0.209 eV per atom

Unit cell a=5.496 b=5.496 c=7.685 alpha=102.79 beta=102.79 gamma=59.05
Sites, in units of the cell vectors:
Sm  0.009  0.702  0.855
Sm  0.298  0.991  0.645
Sm  0.702  0.009  0.355
Sm  0.991  0.298  0.145
Zn  0.369  0.631  0.250
Zn  0.631  0.369  0.750
Co  0.203  0.504  0.492
Co  0.496  0.797  0.008
Co  0.504  0.203  0.992
Co  0.797  0.496  0.508

Record 6
Y3HPbSe: relaxed, PBE.

## Properties
Density = 6.25 Mg/m³

Unit cell a=8.256 b=4.197 c=8.601 alpha=90.00 beta=98.85 gamma=90.00
Sites, in units of the cell vectors:
Y  0.083  0.250  0.320
Y  0.329  0.250  0.968
Y  0.387  0.750  0.629
Y  0.613  0.250  0.371
Y  0.671  0.750  0.032
Y  0.917  0.750  0.680
H  0.409  0.750  0.900
H  0.591  0.250  0.100
Pb  0.341  0.750  0.250
Pb  0.659  0.250  0.750
Se  0.150  0.250  0.655
Se  0.850  0.750  0.345

Record 7
KPIr2: relaxed, PBE.

## Properties
Density = 10.71 Mg/m³
Formation energy = 0.240 eV per atom

Unit cell a=2.888 b=2.888 c=8.461 alpha=90.00 beta=90.00 gamma=93.24
Sites, in units of the cell vectors:
K  0.000  0.000  0.000
P  0.000  0.000  0.500
Ir  0.500  0.500  0.330
Ir  0.500  0.500  0.670

Record 8
La2InTe5Au: relaxed, PBE.

## Properties
E_form (uncorrected) = -0.963 eV per atom
Density = 6.90 Mg/m³

Unit cell a=10.101 b=10.101 c=13.270 alpha=90.00 beta=90.00 gamma=154.14
Sites, in units of the cell vectors:
La  0.117  0.883  0.500
La  0.128  0.872  0.122
La  0.872  0.128  0.622
La  0.883  0.117  0.000
In  0.416  0.584  0.290
In  0.584  0.416  0.790
Te  0.038  0.962  0.903
Te  0.306  0.694  0.151
Te  0.311  0.689  0.466
Te  0.371  0.629  0.811
Te  0.498  0.502  0.106
Te  0.502  0.498  0.606
Te  0.629  0.371  0.311
Te  0.689  0.311  0.966
Te  0.694  0.306  0.651
Te  0.962  0.038  0.403
Au  0.263  0.737  0.936
Au  0.737  0.263  0.436

Record 9
La2BeAsPt6: relaxed, PBE.

## Properties
Density = 12.87 Mg/m³
Formation energy = -0.662 eV per atom

Unit cell a=6.538 b=6.538 c=6.538 alpha=60.00 beta=60.00 gamma=60.00
Sites, in units of the cell vectors:
La  0.250  0.250  0.250
La  0.750  0.750  0.750
Be  0.000  0.000  0.000
As  0.500  0.500  0.500
Pt  0.236  0.236  0.764
Pt  0.236  0.764  0.236
Pt  0.236  0.764  0.764
Pt  0.764  0.236  0.236
Pt  0.764  0.236  0.764
Pt  0.764  0.764  0.236

Record 10
Rb2BaIrO: relaxed, PBE.

## Properties
E_form (uncorrected) = -0.208 eV per atom
Density = 5.39 Mg/m³

Unit cell a=5.498 b=5.498 c=5.268 alpha=90.00 beta=90.00 gamma=90.00
Sites, in units of the cell vectors:
Rb  0.000  0.500  0.000
Rb  0.500  0.000  0.000
Ba  0.000  0.000  0.500
Ir  0.500  0.500  0.500
O  0.000  0.000  0.000

Record 11
Ca2Zn5NiIr2: relaxed, PBE.

## Properties
Density = 8.21 Mg/m³
Formation energy = -0.227 eV per atom

Unit cell a=10.507 b=10.507 c=3.116 alpha=90.00 beta=90.00 gamma=90.00
Sites, in units of the cell vectors:
Ca  0.174  0.326  0.000
Ca  0.326  0.826  0.000
Ca  0.674  0.174  0.000
Ca  0.826  0.674  0.000
Zn  0.000  0.500  0.500
Zn  0.056  0.820  0.500
Zn  0.180  0.056  0.500
Zn  0.320  0.556  0.500
Zn  0.444  0.320  0.500
Zn  0.500  0.000  0.500
Zn  0.556  0.680  0.500
Zn  0.680  0.444  0.500
Zn  0.820  0.944  0.500
Zn  0.944  0.180  0.500
Ni  0.000  0.000  0.000
Ni  0.500  0.500  0.000
Ir  0.135  0.635  0.000
Ir  0.365  0.135  0.000
Ir  0.635  0.865  0.000
Ir  0.865  0.365  0.000

Record 12
Sr3ThAl8: relaxed, PBE.

## Properties
Density = 4.28 Mg/m³
Formation energy = -0.277 eV per atom

Unit cell a=10.055 b=10.055 c=10.055 alpha=33.52 beta=33.52 gamma=33.52
Sites, in units of the cell vectors:
Sr  0.000  0.000  0.000
Sr  0.124  0.124  0.124
Sr  0.498  0.498  0.498
Th  0.624  0.624  0.624
Al  0.055  0.562  0.562
Al  0.062  0.062  0.566
Al  0.062  0.566  0.062
Al  0.312  0.312  0.312
Al  0.562  0.055  0.562
Al  0.562  0.562  0.055
Al  0.566  0.062  0.062
Al  0.811  0.811  0.811

Going through the records in order, we get electronic total energy values of -2.849, -4.861, -3.682, -5.781, -5.194, -5.926, -5.817, -4.472, -6.109, -3.744, -3.614, -3.811 eV per atom.